Density functional theory data (GGA-PBE) for crystalline CsLiCdBr4 at its relaxed geometry.

a b c (Å): 6.730 8.165 9.808
angles (deg): 90.00 104.56 90.00
Space group P2_1/m (No. 11)
Symmetry-distinct sites (fractional):
Cs 0.239 0.250 0.093
Li 0.324 0.250 0.687
Cd 0.180 0.750 0.335
Br 0.093 0.011 0.725
Br 0.347 0.750 0.108
Br 0.475 0.250 0.474

Results
E_tot = -0.2057 Ry per atom